NaPt2O4 | GGA-PBE | optimized geometry

a = 5.7716 Å, b = 3.1256 Å, c = 5.7942 Å
α = 90.00°, β = 96.34°, γ = 90.00°
Closest atoms and distances in Å follow each position.
Space group P2/m (No. 10)
Asymmetric unit:
Na (0.0000, 0.0000, 0.0000)  6 O 2.51-2.54
Pt (0.0000, 0.0000, 0.5000)  6 O 2.05
Pt (0.5000, 0.5000, 0.5000)  4 O 2.06
O (0.1341, 0.5000, 0.7028)  2 Pt 2.05
O (0.3056, 0.0000, 0.3503)  3 Pt 2.05-2.06

As for the spin magnetization: 1.01 μB/f.u. Its formation energy (no corrections) is -0.671 eV/atom.

=====

Na3PtO2 | GGA-PBE | optimized geometry

a = 7.8707 Å, b = 7.6124 Å, c = 6.3952 Å
α = 90.00°, β = 90.00°, γ = 90.00°
Closest atoms and distances in Å follow each position.
Space group Cmcm (No. 63)
Asymmetric unit:
Na (0.0000, 0.2149, 0.2500)  3 O 2.29-2.34
Na (0.2110, 0.5000, 0.0000)  3 O 2.27-2.31
Pt (0.0000, 0.2179, 0.7500)  1 O 1.97
O (0.0000, 0.0000, 0.0000)  4 Na 2.27-2.29, 2 Pt 2.30
O (0.0000, 0.4770, 0.7500)  1 Pt 1.97

As for the spin magnetization: 0.00 μB/f.u. Its formation energy (no corrections) is -0.838 eV/atom.

=====

Na2PtO2 | GGA-PBE | optimized geometry

a = 5.7847 Å, b = 5.7847 Å, c = 3.6791 Å
α = 90.00°, β = 90.00°, γ = 90.00°
Closest atoms and distances in Å follow each position.
Space group P4/mbm (No. 127)
Asymmetric unit:
Na (0.1459, 0.3541, 0.0000)  6 O 2.36-2.61, 1 Na 2.39
Pt (0.0000, 0.0000, 0.5000)  4 O 2.14
O (0.1731, 0.6731, 0.5000)  2 Pt 2.14, 2 Na 2.36

As for the spin magnetization: 0.00 μB/f.u. Its formation energy (no corrections) is -0.837 eV/atom.

=====

NaPtO2 | GGA-PBE | optimized geometry

a = 2.9879 Å, b = 2.9879 Å, c = 11.3784 Å
α = 90.00°, β = 90.00°, γ = 90.00°
Closest atoms and distances in Å follow each position.
Space group I-4m2 (No. 119)
Asymmetric unit:
Na (0.0000, 0.0000, 0.0000)  8 O 2.55
Pt (0.0000, 0.5000, 0.7500)  4 O 2.06
O (0.0000, 0.0000, 0.3746)  2 Pt 2.06

As for the spin magnetization: 0.00 μB/f.u. Its formation energy (no corrections) is -0.495 eV/atom.

=====

Na2PtO3 | GGA-PBE | optimized geometry

a = 5.5239 Å, b = 9.5693 Å, c = 10.8285 Å
α = 90.00°, β = 99.94°, γ = 90.00°
Closest atoms and distances in Å follow each position.
Space group C2/c (No. 15)
Asymmetric unit:
Na (0.0000, 0.0847, 0.2500)  6 O 2.28-2.29
Na (0.2405, 0.0803, 0.0000)  6 O 2.33-2.49
Na (0.2500, 0.2500, 0.5000)  6 O 2.30-2.47
Pt (0.0000, 0.2492, 0.7500)  6 O 2.08-2.09
Pt (0.0000, 0.4177, 0.2500)  6 O 2.09
O (0.1027, 0.4155, 0.6461)  2 Pt 2.08-2.09, 2 Na 2.29-2.33
O (0.1456, 0.0962, 0.6458)  2 Pt 2.09, 2 Na 2.29-2.30
O (0.1459, 0.2653, 0.1461)  2 Pt 2.09, 2 Na 2.28-2.33

As for the spin magnetization: 0.00 μB/f.u. Its formation energy (no corrections) is -1.151 eV/atom.

=====

NaPtO2 | GGA-PBE | optimized geometry

a = 5.5496 Å, b = 5.5496 Å, c = 5.5496 Å
α = 90.00°, β = 90.00°, γ = 90.00°
Closest atoms and distances in Å follow each position.
Space group Fm-3m (No. 225)
Asymmetric unit:
Na (0.0000, 0.0000, 0.0000)  8 O 2.40
Pt (0.0000, 0.0000, 0.5000)  8 O 2.40
O (0.2500, 0.2500, 0.2500)  4 Na 2.40, 4 Pt 2.40

As for the spin magnetization: 0.00 μB/f.u. Its formation energy (no corrections) is -0.176 eV/atom.

=====

NaPtO2 | GGA-PBE | optimized geometry

a = 6.0924 Å, b = 11.1575 Å, c = 4.0632 Å
α = 90.00°, β = 90.00°, γ = 90.00°
Closest atoms and distances in Å follow each position.
Space group Imma (No. 74)
Asymmetric unit:
Na (0.0000, 0.0000, 0.0000)  4 O 2.37
Pt (0.0000, 0.2500, 0.2583)  4 O 1.99
O (0.2500, 0.1354, 0.2500)  2 Pt 1.99

As for the spin magnetization: 0.00 μB/f.u. Its formation energy (no corrections) is -0.859 eV/atom.

=====

NaPt3O4 | GGA-PBE | optimized geometry

a = 5.7725 Å, b = 5.7725 Å, c = 5.7725 Å
α = 90.00°, β = 90.00°, γ = 90.00°
Closest atoms and distances in Å follow each position.
Space group Pm-3n (No. 223)
Asymmetric unit:
Na (0.0000, 0.0000, 0.0000)  8 O 2.50
Pt (0.0000, 0.2500, 0.5000)  4 O 2.04
O (0.2500, 0.2500, 0.2500)  3 Pt 2.04

As for the spin magnetization: 0.00 μB/f.u. Its formation energy (no corrections) is -0.732 eV/atom.

=====

Na4Pt3O8 | GGA-PBE | optimized geometry

a = 6.3085 Å, b = 6.3085 Å, c = 17.1917 Å
α = 90.00°, β = 90.00°, γ = 120.00°
Closest atoms and distances in Å follow each position.
Space group R-3m (No. 166, hexagonal axes)
Asymmetric unit:
Na (0.0000, 0.0000, 0.0000)  6 O 2.28, 2 Na 2.51
Na (0.0000, 0.0000, 0.1460)  4 O 2.27-2.42, 1 Na 2.51
Na (0.0000, 0.0000, 0.5000)  6 O 2.41
Pt (0.0000, 0.5000, 0.0000)  6 O 2.05-2.08
O (0.0000, 0.0000, 0.2781)  3 Pt 2.05, 1 Na 2.27
O (0.0291, 0.5146, 0.2679)  2 Pt 2.08, 1 Na 2.28

As for the spin magnetization: 0.00 μB/f.u. Its formation energy (no corrections) is -0.995 eV/atom.

=====

NaPt3O6 | GGA-PBE | optimized geometry

a = 7.2678 Å, b = 10.4773 Å, c = 3.1673 Å
α = 90.00°, β = 90.00°, γ = 90.00°
Closest atoms and distances in Å follow each position.
Space group Cmmm (No. 65)
Asymmetric unit:
Na (0.0000, 0.0000, 0.0000)  8 O 2.40-2.53
Pt (0.0000, 0.5000, 0.0000)  4 O 2.01
Pt (0.2500, 0.2500, 0.5000)  6 O 1.99-2.06
O (0.0000, 0.1717, 0.5000)  2 Pt 1.99
O (0.2053, 0.3713, 0.0000)  3 Pt 2.01-2.06

As for the spin magnetization: 0.00 μB/f.u. Its formation energy (no corrections) is -0.714 eV/atom.

=====

NaPtO2 | GGA-PBE | optimized geometry

a = 4.6269 Å, b = 4.6269 Å, c = 11.4720 Å
α = 90.00°, β = 90.00°, γ = 90.00°
Closest atoms and distances in Å follow each position.
Space group I-42d (No. 122)
Asymmetric unit:
Na (0.0000, 0.0000, 0.0000)  4 O 2.35
Pt (0.0000, 0.0000, 0.5000)  4 O 2.03
O (0.1831, 0.2500, 0.6250)  2 Pt 2.03

As for the spin magnetization: 0.00 μB/f.u. Its formation energy (no corrections) is -0.509 eV/atom.

=====

Na2PuPt2O6 | GGA-PBE | optimized geometry

a = 6.0607 Å, b = 9.1415 Å, c = 6.4419 Å
α = 90.00°, β = 116.76°, γ = 90.00°
Closest atoms and distances in Å follow each position.
Space group C2/m (No. 12)
Asymmetric unit:
Na (0.0000, 0.1805, 0.0000)  6 O 2.37-2.52
Pu (0.0000, 0.5000, 0.5000)  4 O 2.05
Pt (0.0000, 0.1695, 0.5000)  4 O 2.04-2.05
O (0.0236, 0.0000, 0.3048)  2 Pt 2.04
O (0.0616, 0.3345, 0.7355)  1 Pt 2.05, 1 Pu 2.05

As for the spin magnetization: 1.97 μB/f.u. Its formation energy (no corrections) is -1.476 eV/atom.

=====

Na2PuPtO5 | GGA-PBE | optimized geometry

a = 6.0645 Å, b = 6.0645 Å, c = 5.9513 Å
α = 90.00°, β = 90.00°, γ = 90.00°
Closest atoms and distances in Å follow each position.
Space group P4/mbm (No. 127)
Asymmetric unit:
Na (0.1571, 0.3429, 0.0000)  4 O 2.25-2.29
Pu (0.0000, 0.0000, 0.5000)  8 O 2.55
Pt (0.0000, 0.5000, 0.5000)  4 O 1.96
O (0.0000, 0.0000, 0.0000)  4 Na 2.29
O (0.1782, 0.6782, 0.2937)  1 Pt 1.96

As for the spin magnetization: 4.06 μB/f.u. Its formation energy (no corrections) is -1.317 eV/atom.

=====

NaPuPtO6 | GGA-PBE | optimized geometry

a = 5.2787 Å, b = 5.2787 Å, c = 10.6672 Å
α = 90.00°, β = 90.00°, γ = 120.00°
Closest atoms and distances in Å follow each position.
Space group P-31c (No. 163)
Asymmetric unit:
Na (0.0000, 0.0000, 0.0000)  6 O 2.43
Pu (0.3333, 0.6667, 0.2500)  6 O 2.04
Pt (0.3333, 0.6667, 0.7500)  6 O 2.04
O (0.0006, 0.3550, 0.6456)  1 Pt 2.04, 1 Pu 2.04

As for the spin magnetization: 1.02 μB/f.u. Its formation energy (no corrections) is -1.597 eV/atom.

=====

RbNaPtO3 | GGA-PBE | optimized geometry

a = 5.8536 Å, b = 11.0362 Å, c = 6.0974 Å
α = 90.00°, β = 90.00°, γ = 90.00°
Closest atoms and distances in Å follow each position.
Space group Cmcm (No. 63)
Asymmetric unit:
Rb (0.0000, 0.2129, 0.2500)  8 O 2.93-3.23
Na (0.0000, 0.0913, 0.7500)  5 O 2.26-2.43
Pt (0.0000, 0.4780, 0.7500)  5 O 2.00-2.03
O (0.0000, 0.2964, 0.7500)  1 Pt 2.00
O (0.2264, 0.5000, 0.0000)  2 Pt 2.03

As for the spin magnetization: 0.00 μB/f.u. Its formation energy (no corrections) is -0.891 eV/atom.

=====

RbNa2PtO4 | GGA-PBE | optimized geometry

a = 6.0277 Å, b = 6.0277 Å, c = 7.4400 Å
α = 90.00°, β = 90.00°, γ = 90.00°
Closest atoms and distances in Å follow each position.
Space group I-4 (No. 82)
Asymmetric unit:
Rb (0.0000, 0.0000, 0.0000)  8 O 2.80-2.91
Na (0.0000, 0.0000, 0.5000)  4 O 2.52
Na (0.0000, 0.5000, 0.2500)  4 O 2.39
Pt (0.0000, 0.5000, 0.7500)  4 O 1.92
O (0.1928, 0.7505, 0.7229)  1 Pt 1.92

As for the spin magnetization: 3.03 μB/f.u. Its formation energy (no corrections) is -1.004 eV/atom.

=====

Rb2NaPtO4 | GGA-PBE | optimized geometry

a = 6.2660 Å, b = 14.2057 Å, c = 19.2988 Å
α = 90.00°, β = 90.00°, γ = 90.00°
Closest atoms and distances in Å follow each position.
Space group Fddd (No. 70, origin choice 2)
Asymmetric unit:
Rb (0.1250, 0.1250, 0.2991)  2 O 2.66
Na (0.1250, 0.1250, 0.1250)  4 O 2.24
Pt (0.1250, 0.1250, 0.6250)  4 O 1.91
O (0.0905, 0.2797, 0.8743)  1 Pt 1.91

As for the spin magnetization: 3.00 μB/f.u. Its formation energy (no corrections) is -0.906 eV/atom.

=====

NaRe2PtO8 | GGA-PBE | optimized geometry

a = 9.2605 Å, b = 6.1532 Å, c = 7.6495 Å
α = 90.00°, β = 95.29°, γ = 90.00°
Closest atoms and distances in Å follow each position.
Space group C2/m (No. 12)
Asymmetric unit:
Na (0.0000, 0.0000, 0.0000)  6 O 2.37-2.46
Re (0.1595, 0.5000, 0.2351)  4 O 1.74-1.79
Pt (0.0000, 0.0000, 0.5000)  2 O 2.00
O (0.0495, 0.2660, 0.2373)  1 Re 1.76
O (0.2123, 0.0000, 0.5755)  1 Re 1.79, 1 Pt 2.00
O (0.2500, 0.0000, 0.9547)  1 Re 1.74

As for the spin magnetization: 1.03 μB/f.u. Its formation energy (no corrections) is -1.338 eV/atom.

=====

Na3Pt2RhO6 | GGA-PBE | optimized geometry

a = 5.9716 Å, b = 9.4350 Å, c = 5.6146 Å
α = 90.00°, β = 113.63°, γ = 90.00°
Closest atoms and distances in Å follow each position.
Space group C2/m (No. 12)
Asymmetric unit:
Na (0.0000, 0.0000, 0.0000)  6 O 2.43-2.71
Na (0.0000, 0.3313, 0.0000)  6 O 2.40-2.43
Pt (0.0000, 0.1665, 0.5000)  4 O 2.06-2.10
Rh (0.0000, 0.5000, 0.5000)  6 O 2.08-2.17
O (0.2113, 0.3318, 0.7104)  1 Pt 2.06, 1 Rh 2.08
O (0.2420, 0.0000, 0.6829)  2 Pt 2.10, 1 Rh 2.17

As for the spin magnetization: 2.02 μB/f.u. Its formation energy (no corrections) is -0.874 eV/atom.

=====

Na4PtRh3O8 | GGA-PBE | optimized geometry

a = 11.1397 Å, b = 6.3173 Å, c = 6.3208 Å
α = 90.00°, β = 123.52°, γ = 90.00°
Closest atoms and distances in Å follow each position.
Space group C2/m (No. 12)
Asymmetric unit:
Na (0.0000, 0.0000, 0.0000)  6 O 2.40-2.53
Na (0.0000, 0.5000, 0.0000)  6 O 2.26-2.43
Na (0.2500, 0.2500, 0.5000)  6 O 2.39-2.56
Pt (0.0000, 0.0000, 0.5000)  4 O 2.07
Rh (0.0000, 0.5000, 0.5000)  6 O 2.11-2.13
Rh (0.2500, 0.2500, 0.0000)  6 O 2.08-2.11
O (0.0253, 0.2461, 0.7385)  1 Pt 2.07, 2 Rh 2.10-2.11
O (0.2280, 0.5000, 0.7606)  3 Rh 2.11-2.13
O (0.2424, 0.5000, 0.2073)  2 Rh 2.08, 1 Na 2.26

As for the spin magnetization: 1.00 μB/f.u. Its formation energy (no corrections) is -1.019 eV/atom.

=====

| no. | V (Å³ per atom) |
| --- | --- |
| 1 | 14.84 |
| 2 | 15.97 |
| 3 | 12.31 |
| 4 | 12.70 |
| 5 | 11.75 |
| 6 | 10.68 |
| 7 | 17.26 |
| 8 | 12.02 |
| 9 | 13.17 |
| 10 | 12.06 |
| 11 | 15.35 |
| 12 | 14.49 |
| 13 | 12.16 |
| 14 | 14.30 |
| 15 | 16.41 |
| 16 | 16.90 |
| 17 | 26.84 |
| 18 | 18.08 |
| 19 | 12.08 |
| 20 | 11.59 |